[1]
The following is a GGA-PBE calculation of BOs after structural relaxation, from the Alexandria database.

- Energy: -8.57 eV per atom
- Space-group type: Imm2 (44)

Cell lengths 7.523, 2.867, 7.285 Å; angles 90.00, 90.00, 90.00 degrees
Atoms (fractional coordinates):
Os1 0.500 0.000 0.082
B1 0.500 0.500 0.843
B2 0.282 0.500 0.165
Os2 0.000 0.500 0.582
Os3 0.739 0.000 0.374
B3 0.718 0.500 0.165
B4 0.218 0.000 0.665
B5 0.782 0.000 0.665
Os4 0.261 0.000 0.374
Os5 0.239 0.500 0.874
B6 0.000 0.000 0.343
Os6 0.761 0.500 0.874

[2]
The following is a GGA-PBE calculation of BOs after structural relaxation, from the Alexandria database.

- Energy: -8.23 eV per atom
- Space-group type: Pm-3n (223)

Cell lengths 5.778, 5.778, 5.778 Å; angles 90.00, 90.00, 90.00 degrees
Each line ends with the local moment (μB).
Atoms (fractional coordinates):
Os1 0.500 0.000 0.750  0.40
Os2 0.250 0.500 0.000  0.40
B1 0.000 0.500 0.750  -0.02
B2 0.250 0.000 0.500  -0.02
B3 0.500 0.750 0.000  -0.02
Os3 0.500 0.000 0.250  0.40
Os4 0.000 0.250 0.500  0.40
Os5 0.750 0.500 0.000  0.40
B4 0.000 0.500 0.250  -0.02
B5 0.500 0.250 0.000  -0.02
B6 0.750 0.000 0.500  -0.02
Os6 0.000 0.750 0.500  0.40

Number 1: magnetic moment 0.00 μB per formula unit. Number 2: magnetic moment 0.39 μB per formula unit.